The following is a PBE calculation of an optimized crystal structure of TlSN2F, from Alexandria via LeMat-Bulk.

* symmetry: P4/mmm (123)
* calculated density: 5.90 g/cm³
* VASP energy: -4.320 eV per atom
* energy relative to the elements, uncorrected: 0.683 eV/atom
* offset from the most stable computed form: 0 meV per atom

a b c (Å): 3.537 3.537 6.375
angles (deg): 90.00 90.00 90.00
Element x y z (fractional)
Tl1 0.500 0.500 0.500
S1 0.000 0.000 0.000
N1 0.000 0.500 0.000
F1 0.000 0.000 0.500
N2 0.500 0.000 0.000

The following is a PBE calculation of an optimized crystal structure of Cs3Nd3OsO8, from Alexandria via LeMat-Bulk.

* symmetry: R-3m (166)
* calculated density: 6.24 g/cm³
* VASP energy: -6.645 eV per atom
* energy relative to the elements, uncorrected: -2.127 eV/atom

a b c (Å): 7.139 7.140 8.060
angles (deg): 116.30 90.00 120.00
Element x y z (fractional)
O1 0.200 0.399 0.653
Cs1 0.000 0.000 0.000
Os1 0.000 0.000 0.500
O2 0.800 0.601 0.347
O3 0.754 0.953 0.653
O4 0.246 0.047 0.347
Cs2 0.000 0.500 0.000
O5 0.800 0.047 0.347
Nd1 0.500 0.500 0.500
Nd2 0.500 0.000 0.500
Nd3 0.000 0.500 0.500
O6 0.277 0.554 0.331
O7 0.200 0.953 0.653
Cs3 0.500 0.500 0.000
O8 0.723 0.446 0.669

The following is a PBE calculation of an optimized crystal structure of Al2AgHgSe4, from Alexandria via LeMat-Bulk.

* symmetry: Fmm2 (42)
* calculated density: 5.21 g/cm³
* VASP energy: -3.536 eV per atom
* energy relative to the elements, uncorrected: -0.464 eV/atom

a b c (Å): 5.644 5.644 7.871
angles (deg): 111.03 111.03 90.00
Element x y z (fractional)
Se1 0.410 0.880 0.291
Al1 0.750 0.250 0.500
Se2 0.590 0.590 0.710
Se3 0.120 0.120 0.709
Se4 0.880 0.410 0.291
Al2 0.250 0.750 0.500
Hg1 0.000 0.000 0.999
Ag1 0.500 0.500 0.001

The following is a PBE calculation of an optimized crystal structure of NaSCl4, from Alexandria via LeMat-Bulk.

* symmetry: P1 (1)
* calculated density: 1.83 g/cm³
* VASP energy: -2.702 eV per atom
* energy relative to the elements, uncorrected: -0.563 eV/atom
* offset from the most stable computed form: 0 meV per atom

a b c (Å): 6.142 6.147 6.139
angles (deg): 110.38 110.35 107.63
Element x y z (fractional)
S1 0.500 0.500 0.000
Cl1 0.728 0.268 0.998
Cl2 0.732 0.730 0.460
Na1 0.750 0.250 0.500
Cl3 0.270 0.730 0.002
Cl4 0.269 0.272 0.540

The following is a PBE calculation of an optimized crystal structure of MgPaZn10, from Alexandria via LeMat-Bulk.

* formation energy: -50 meV/atom
* symmetry: Pmmm (47)
* calculated density: 7.39 g/cm³
* VASP energy: -2.036 eV per atom

a b c (Å): 4.270 5.187 9.225
angles (deg): 90.00 90.00 90.00
Element x y z (fractional)
Mg1 0.000 0.500 0.500
Zn1 0.000 0.000 0.656
Zn2 0.500 0.761 0.764
Zn3 0.500 0.239 0.764
Zn4 0.500 0.500 0.000
Zn5 0.000 0.500 0.187
Zn6 0.500 0.000 0.500
Zn7 0.500 0.239 0.236
Zn8 0.500 0.761 0.236
Pa1 0.000 0.000 0.000
Zn9 0.000 0.500 0.813
Zn10 0.000 0.000 0.344

The following is a PBE calculation of an optimized crystal structure of LiSiBr4, from Alexandria via LeMat-Bulk.

* symmetry: F-43m (216)
* calculated density: 3.21 g/cm³
* VASP energy: -1.795 eV per atom
* energy relative to the elements, uncorrected: 0.543 eV/atom
* offset from the most stable computed form: 1292 meV per atom

a b c (Å): 6.375 6.375 6.375
angles (deg): 60.00 60.00 60.00
Element x y z (fractional)
Br1 0.375 0.875 0.375
Br2 0.375 0.375 0.875
Si1 0.000 0.000 0.000
Li1 0.750 0.750 0.750
Br3 0.375 0.375 0.375
Br4 0.875 0.375 0.375

The following is a PBE calculation of an optimized crystal structure of PrTmMgZn, from Alexandria via LeMat-Bulk.

* formation energy: -166 meV/atom
* symmetry: F-43m (216)
* calculated density: 6.45 g/cm³
* VASP energy: -3.196 eV per atom
* offset from the most stable computed form: 36 meV per atom

a b c (Å): 5.258 5.258 5.258
angles (deg): 60.00 60.00 60.00
Element x y z (fractional)
Mg1 0.750 0.750 0.750
Pr1 0.000 0.000 0.000
Zn1 0.250 0.250 0.250
Tm1 0.500 0.500 0.500

The following is a PBE calculation of an optimized crystal structure of Tb2Tm6In, from Alexandria via LeMat-Bulk.

* formation energy: -29 meV/atom
* symmetry: C2/c (15)
* calculated density: 8.95 g/cm³
* VASP energy: -4.343 eV per atom
* offset from the most stable computed form: 0 meV per atom

a b c (Å): 6.046 9.705 9.705
angles (deg): 71.93 83.99 83.99
Element x y z (fractional)
In1 0.750 0.869 0.131
Tb1 0.568 0.436 0.208
Tm1 0.629 0.069 0.345
Tm2 0.978 0.419 0.690
Tm3 0.371 0.931 0.655
Tm4 0.339 0.780 0.017
Tm5 0.871 0.655 0.931
Tm6 0.522 0.310 0.581
Tm7 0.129 0.345 0.069
In2 0.250 0.131 0.869
Tm8 0.478 0.690 0.419
Tm9 0.022 0.581 0.310
Tm10 0.839 0.017 0.780
Tb2 0.068 0.208 0.436
Tm11 0.161 0.983 0.220
Tb3 0.932 0.792 0.564
Tm12 0.661 0.220 0.983
Tb4 0.432 0.564 0.792

The following is a PBE calculation of an optimized crystal structure of LiPaOsRu, from Alexandria via LeMat-Bulk.

* formation energy: -163 meV/atom
* symmetry: F-43m (216)
* calculated density: 13.13 g/cm³
* VASP energy: -8.142 eV per atom

a b c (Å): 4.558 4.558 4.558
angles (deg): 60.00 60.00 60.00
Element x y z (fractional)
Pa1 0.000 0.000 0.000
Ru1 0.250 0.250 0.250
Li1 0.500 0.500 0.500
Os1 0.750 0.750 0.750

The following is a PBE calculation of an optimized crystal structure of K2CrBiSe4, from Alexandria via LeMat-Bulk.

* symmetry: P2/m (10)
* calculated density: 4.88 g/cm³
* VASP energy: -4.465 eV per atom
* energy relative to the elements, uncorrected: -0.761 eV/atom

a b c (Å): 4.086 7.166 7.963
angles (deg): 107.08 90.00 90.00
Element x y z (fractional)
K1 0.000 0.500 0.500
Se1 0.000 0.301 0.815
Se2 0.500 0.267 0.201
Se3 0.500 0.733 0.799
Bi1 0.000 0.000 0.000
Cr1 0.500 0.500 0.000
K2 0.500 0.000 0.500
Se4 0.000 0.699 0.185

The following is a PBE calculation of an optimized crystal structure of MgScIrO6, from Alexandria via LeMat-Bulk.

* symmetry: P-31c (163)
* calculated density: 5.69 g/cm³
* VASP energy: -6.926 eV per atom
* energy relative to the elements, uncorrected: -1.756 eV/atom

a b c (Å): 5.206 5.206 8.893
angles (deg): 90.00 90.00 120.00
Element x y z (fractional)
O1 0.641 0.667 0.629
O2 0.333 0.974 0.629
O3 0.026 0.667 0.871
O4 0.667 0.026 0.371
O5 0.359 0.333 0.371
O6 0.667 0.641 0.129
O7 0.359 0.026 0.129
Mg1 0.000 0.000 0.500
O8 0.974 0.641 0.371
Sc1 0.667 0.333 0.750
Mg2 0.000 0.000 0.000
O9 0.641 0.974 0.871
Ir1 0.333 0.667 0.750
O10 0.026 0.359 0.629
Ir2 0.667 0.333 0.250
O11 0.974 0.333 0.129
Sc2 0.333 0.667 0.250
O12 0.333 0.359 0.871

The following is a PBE calculation of an optimized crystal structure of InMo2Cl, from Alexandria via LeMat-Bulk.

* symmetry: I4/mmm (139)
* calculated density: 7.76 g/cm³
* VASP energy: -5.531 eV per atom
* energy relative to the elements, uncorrected: 1.031 eV/atom
* offset from the most stable computed form: 910 meV per atom

a b c (Å): 5.479 5.479 5.479
angles (deg): 137.87 137.87 61.10
Element x y z (fractional)
In1 0.750 0.250 0.500
Cl1 0.250 0.750 0.500
Mo1 0.500 0.500 0.000
Mo2 0.000 0.000 0.000

no.,total moment (μB per formula unit)
1,0.549
2,1.999
3,0.000
4,0.983
5,0.677
6,1.989
7,0.000
8,0.000
9,0.000
10,2.998
11,1.213
12,0.001